The following is a DFT calculation (PBE+U) of crystalline MnHgTeO6 at its relaxed geometry.

abc: 5.1678 5.1678 5.0316
angles: 90.00 90.00 120.00
Space group P312 (No. 149)
One atom of each set of equivalent atoms:
Mn (0.0000, 0.0000, 0.0000) (multiplicity 1)
Hg (0.6667, 0.3333, 0.5000) (multiplicity 1)
Te (0.3333, 0.6667, 0.0000) (multiplicity 1)
O (0.0397, 0.3305, 0.2134) (multiplicity 6)

## Properties
**Calculated total energy**: -5.48 eV/atom